Entry w
First-principles (meta-GGA SCAN) data for a PBEsol-optimized structure of RePt2Rh, as listed in Alexandria. Values from VASP.

Cell and atoms, written as Quantum ESPRESSO input:
```
&SYSTEM
  ibrav = 0, nat = 4, ntyp = 3
/
ATOMIC_SPECIES
Re 186.21 Re.upf
Pt 195.08 Pt.upf
Rh 102.91 Rh.upf
CELL_PARAMETERS angstrom
4.5359 -1.3632 0.0000
4.5359 1.3632 0.0000
-0.8114 0.0000 4.6505
ATOMIC_POSITIONS angstrom
Re 0.0000 0.0000 0.0000
Pt 1.6716 0.0000 3.5085
Pt 6.5888 0.0000 1.1421
Rh 4.1302 0.0000 2.3253
```

Calculated values
Its volume is 57.5 Å³/cell. The space-group type is C2/m (12). Its theoretical density is 19.61 Mg/m³. The value obtained for the density of states at the Fermi level is 1.029 states/eV/atom. Its total magnetic moment is 0.000 Bohr magnetons per cell.

---

Entry x
First-principles (meta-GGA SCAN) data for a PBEsol-optimized structure of RePt2Rh, as listed in Alexandria. Values from VASP.

Cell and atoms, written as Quantum ESPRESSO input:
```
&SYSTEM
  ibrav = 0, nat = 4, ntyp = 3
/
ATOMIC_SPECIES
Re 186.21 Re.upf
Pt 195.08 Pt.upf
Rh 102.91 Rh.upf
CELL_PARAMETERS angstrom
3.8484 0.0000 0.0000
0.0000 3.8484 0.0000
0.0000 0.0000 3.8898
ATOMIC_POSITIONS angstrom
Re 0.0000 0.0000 0.0000
Pt 0.0000 1.9242 1.9449
Pt 1.9242 0.0000 1.9449
Rh 1.9242 1.9242 0.0000
```

Calculated values
Its volume is 57.6 Å³/cell. The space-group type is P4/mmm (123). Its theoretical density is 19.58 Mg/m³. The value obtained for the density of states at the Fermi level is 1.299 states/eV/atom. Its total magnetic moment is 0.002 Bohr magnetons per cell.

---

Entry y
First-principles (meta-GGA SCAN) data for a PBEsol-optimized structure of RePt2Rh, as listed in Alexandria. Values from VASP.

Cell and atoms, written as Quantum ESPRESSO input:
```
&SYSTEM
  ibrav = 0, nat = 4, ntyp = 3
/
ATOMIC_SPECIES
Re 186.21 Re.upf
Pt 195.08 Pt.upf
Rh 102.91 Rh.upf
CELL_PARAMETERS angstrom
4.5470 -1.3527 0.0000
4.5470 1.3527 0.0000
-0.7947 0.0000 4.6725
ATOMIC_POSITIONS angstrom
Re 0.0000 0.0000 0.0000
Pt 4.1710 0.0000 2.3662
Pt 6.6138 0.0000 1.1541
Rh 1.7128 0.0000 3.5684
```

Calculated values
Its volume is 57.5 Å³/cell. The space-group type is Cm (8). Its theoretical density is 19.62 Mg/m³. The value obtained for the density of states at the Fermi level is 0.885 states/eV/atom. Its total magnetic moment is 0.000 Bohr magnetons per cell.

---

Entry z
First-principles (meta-GGA SCAN) data for a PBEsol-optimized structure of RePt2Rh, as listed in Alexandria. Values from VASP.

Cell and atoms, written as Quantum ESPRESSO input:
```
&SYSTEM
  ibrav = 0, nat = 4, ntyp = 3
/
ATOMIC_SPECIES
Re 186.21 Re.upf
Pt 195.08 Pt.upf
Rh 102.91 Rh.upf
CELL_PARAMETERS angstrom
2.7175 0.0000 0.0000
0.0000 2.7175 0.0000
0.0000 0.0000 7.8340
ATOMIC_POSITIONS angstrom
Re 0.0000 0.0000 0.0000
Pt 0.0000 0.0000 3.8257
Pt 1.3588 1.3588 5.9047
Rh 1.3588 1.3588 1.8152
```

Calculated values
Its volume is 57.9 Å³/cell. The space-group type is P4mm (99). Its theoretical density is 19.50 Mg/m³. The value obtained for the density of states at the Fermi level is 0.796 states/eV/atom. Its total magnetic moment is 0.000 Bohr magnetons per cell.

---

Last place for stability: entry x